{
  "formula": "ThZnBi2",
  "functional": "PBE",
  "state": "optimized geometry",
  "lattice_angstrom": [[-3.137, 1.547, 0.598], [-2.429, 0.143, -2.583], [-5.931, -8.974, 2.643]],
  "species": ["Bi", "Bi", "Th", "Zn"],
  "frac_coords": [[0.101, 0.101, 0.696], [0.899, 0.899, 0.304], [0.000, 0.000, 0.000], [0.500, 0.500, 0.500]],
  "ef_ev_per_atom": 0.21,
  "energy_ev_per_cell": -15.6
}

***

{
  "formula": "LiLa2YN",
  "functional": "PBE",
  "state": "optimized geometry",
  "lattice_angstrom": [[-3.994, 1.327, -3.133], [-0.063, -4.859, -1.979], [-3.076, -1.328, 3.359]],
  "species": ["La", "La", "Li", "Y", "N"],
  "frac_coords": [[0.500, 0.000, 0.000], [0.000, 0.500, 0.000], [0.500, 0.500, 0.500], [0.000, 0.000, 0.500], [0.000, 0.000, 0.000]],
  "energy_ev_per_cell": -29.1,
  "formation_energy_uncorrected_ev_per_atom": -0.507
}

***

{
  "formula": "CdIr2Os",
  "functional": "PBE",
  "state": "optimized geometry",
  "lattice_angstrom": [[-2.560, 0.301, -1.110], [1.224, -2.920, -3.616], [-1.510, -3.703, 2.479]],
  "species": ["Ir", "Ir", "Cd", "Os"],
  "frac_coords": [[0.000, 0.000, 0.000], [0.500, 0.500, 0.000], [0.000, 0.500, 0.500], [0.500, 0.000, 0.500]],
  "ef_ev_per_atom": 0.62,
  "energy_ev_per_cell": -27.4
}

***

{
  "formula": "Pm8AlZn2",
  "functional": "PBE",
  "state": "optimized geometry",
  "lattice_angstrom": [[4.833, 0.000, -1.471], [-1.261, 7.294, -4.143], [0.075, 0.148, 8.922]],
  "species": ["Pm", "Pm", "Pm", "Pm", "Pm", "Pm", "Pm", "Pm", "Al", "Zn", "Zn"],
  "frac_coords": [[0.338, 0.114, 0.676], [0.863, 0.863, 0.726], [0.137, 0.137, 0.274], [0.000, 0.315, 0.000], [0.662, 0.886, 0.324], [0.338, 0.562, 0.676], [0.000, 0.685, 0.000], [0.662, 0.438, 0.324], [0.500, 0.000, 0.000], [0.193, 0.693, 0.386], [0.807, 0.307, 0.614]],
  "ef_ev_per_atom": -0.10,
  "energy_ev_per_cell": -45.4
}

***

{
  "formula": "Be2VTeMo",
  "functional": "PBE",
  "state": "optimized geometry",
  "lattice_angstrom": [[-2.608, -1.514, 3.366], [-3.288, -0.920, -2.961], [1.655, -4.101, -0.563]],
  "species": ["Be", "Be", "Mo", "Te", "V"],
  "frac_coords": [[0.500, 0.000, 0.000], [0.000, 0.500, 0.000], [0.000, 0.000, 0.000], [0.500, 0.500, 0.500], [0.000, 0.000, 0.500]],
  "energy_ev_per_cell": -24.6,
  "formation_energy_uncorrected_ev_per_atom": 1.188
}

***

{
  "formula": "KCeTiS4",
  "functional": "PBE",
  "state": "optimized geometry",
  "lattice_angstrom": [[7.451, 0.000, 0.000], [-3.725, 6.982, -0.976], [0.000, -4.636, 7.624]],
  "species": ["Ti", "Ti", "S", "S", "S", "S", "S", "S", "S", "S", "K", "K", "Ce", "Ce"],
  "frac_coords": [[0.000, 0.500, 0.500], [0.500, 0.500, 0.500], [0.295, 0.045, 0.272], [0.750, 0.045, 0.272], [0.250, 0.500, 0.315], [0.750, 0.500, 0.685], [0.250, 0.500, 0.685], [0.250, 0.955, 0.728], [0.750, 0.500, 0.315], [0.705, 0.955, 0.728], [0.171, 0.342, 0.921], [0.829, 0.658, 0.079], [0.500, 0.000, 0.000], [0.500, 0.000, 0.500]],
  "energy_ev_per_cell": -83.7,
  "formation_energy_uncorrected_ev_per_atom": -1.490
}

***

{
  "formula": "PtSeIO2",
  "functional": "PBE",
  "state": "optimized geometry",
  "lattice_angstrom": [[3.884, 0.000, 0.000], [0.000, 3.884, 0.000], [0.000, 0.000, 8.381]],
  "species": ["I", "O", "O", "Pt", "Se"],
  "frac_coords": [[0.000, 0.000, 0.500], [0.000, 0.500, 0.000], [0.500, 0.000, 0.000], [0.000, 0.000, 0.000], [0.500, 0.500, 0.500]],
  "e_above_lowest_polymorph_mev_per_atom": 0,
  "energy_ev_per_cell": -20.1,
  "formation_energy_uncorrected_ev_per_atom": 0.169
}

***

{
  "formula": "SrZn2Co",
  "functional": "PBE",
  "state": "optimized geometry",
  "lattice_angstrom": [[-2.854, -2.043, 3.720], [3.019, -0.180, 4.124], [-1.033, 3.932, -3.103]],
  "species": ["Co", "Sr", "Zn", "Zn"],
  "frac_coords": [[0.250, 0.750, 0.500], [0.750, 0.250, 0.500], [0.500, 0.500, 0.000], [0.000, 0.000, 0.000]],
  "ef_ev_per_atom": 0.28,
  "energy_ev_per_cell": -10.2
}